No. 1
Compound: CsSbTeH
Source: Alexandria via LeMat-Bulk
Functional: GGA-PBE
Structure: optimized geometry

Values from the calculation:
The value obtained for the energy above the most stable polymorph in this dataset is 45.9 meV/atom. Its electronic total energy is -3.1320 eV/atom. Its volume is 34.887 A^3/atom. The spin magnetization is 0.0 μB per cell. For the density of states at the Fermi level, the calculation gives 1.55 states/eV per cell.

CIF file:
```
data_CsSbTeH
_space_group_name_H-M_alt 'C 1 2 1'
_space_group_IT_number 5
_space_group_name_Hall 'C 2y'
_cell_length_a 6.394
_cell_length_b 12.759
_cell_length_c 4.544
_cell_angle_alpha 90.00
_cell_angle_beta 131.17
_cell_angle_gamma 90.00
loop_
_atom_site_label
_atom_site_fract_x
_atom_site_fract_y
_atom_site_fract_z
Cs1 0.000 0.000 0.000
Sb1 0.000 0.242 0.500
Te1 0.000 0.745 0.500
H1 0.000 0.378 0.500
```

---

No. 2
Compound: CaLa2DyTe4
Source: Alexandria via LeMat-Bulk
Functional: GGA-PBE
Structure: optimized geometry

Values from the calculation:
Its electronic total energy is -5.1402 eV/atom. The value obtained for the raw formation energy is -145.9 kJ per mole of atoms. Its volume is 32.241 A^3/atom. The spin magnetization is 0.0 μB per cell. For the density of states at the Fermi level, the calculation gives 4.42 states/eV per cell.

CIF file:
```
data_CaLa2DyTe4
_space_group_name_H-M_alt 'P 1 2/m 1'
_space_group_IT_number 10
_space_group_name_Hall '-P 2y'
_cell_length_a 7.775
_cell_length_b 4.469
_cell_length_c 7.852
_cell_angle_alpha 90.00
_cell_angle_beta 109.01
_cell_angle_gamma 90.00
loop_
_atom_site_label
_atom_site_fract_x
_atom_site_fract_y
_atom_site_fract_z
Ca1 0.000 0.000 0.000
La1 0.000 0.500 0.500
La2 0.500 0.000 0.500
Dy1 0.500 0.500 0.000
Te1 0.248 0.500 0.236
Te2 0.257 0.000 0.766
```

---

No. 3
Compound: CdTe3
Source: Alexandria via LeMat-Bulk
Functional: GGA-PBE
Structure: optimized geometry

Values from the calculation:
Its electronic total energy is -1.9758 eV/atom. The value obtained for the raw formation energy is 58.8 kJ per mole of atoms. Its volume is 46.144 A^3/atom. The spin magnetization is 0.0 μB per cell. For the density of states at the Fermi level, the calculation gives 7.57 states/eV per cell.

CIF file:
```
data_CdTe3
_space_group_name_H-M_alt 'P m -3 m'
_space_group_IT_number 221
_space_group_name_Hall '-P 4 2 3'
_cell_length_a 5.694
_cell_length_b 5.694
_cell_length_c 5.694
_cell_angle_alpha 90.00
_cell_angle_beta 90.00
_cell_angle_gamma 90.00
loop_
_atom_site_label
_atom_site_fract_x
_atom_site_fract_y
_atom_site_fract_z
Cd1 0.000 0.000 0.000
Te1 0.000 0.000 0.500
```

---

No. 4
Compound: SbPd3Pb
Source: Alexandria via LeMat-Bulk
Functional: GGA-PBE
Structure: optimized geometry

Values from the calculation:
The value obtained for the energy above the most stable polymorph in this dataset is 880.4 meV/atom. Its electronic total energy is -4.0983 eV/atom. The value obtained for the raw formation energy is 56.3 kJ per mole of atoms. Its volume is 25.567 A^3/atom. The spin magnetization is 0.0 μB per cell. For the density of states at the Fermi level, the calculation gives 1.83 states/eV per cell.

CIF file:
```
data_SbPd3Pb
_space_group_name_H-M_alt 'P m -3 m'
_space_group_IT_number 221
_space_group_name_Hall '-P 4 2 3'
_cell_length_a 5.038
_cell_length_b 5.038
_cell_length_c 5.038
_cell_angle_alpha 90.00
_cell_angle_beta 90.00
_cell_angle_gamma 90.00
loop_
_atom_site_label
_atom_site_fract_x
_atom_site_fract_y
_atom_site_fract_z
Sb1 0.000 0.000 0.000
Pd1 0.000 0.500 0.500
Pb1 0.500 0.500 0.500
```